DFT (GGA+U) results for a geometry-optimized CoOs2IF structure.

Results
For the calculated total energy, the calculation gives -21.9 eV per formula unit.

a = 4.594 Å, b = 4.594 Å, c = 4.996 Å
α = 90.00°, β = 90.00°, γ = 90.00°
Space group P4/mmm (No. 123)
Symmetry-distinct sites (fractional):
Co: 0.000 0.000 0.000
Os: 0.000 0.500 0.000
I: 0.000 0.000 0.500
F: 0.500 0.500 0.500